[1]
Material: Zr2NiHPt
Method: DFT, PBE-GGA
State: optimized geometry

a b c (Å): 4.5271 4.5271 3.5621
angles (deg): 90.00 90.00 90.00
With the nearest neighbours (Å) after each atom.
Space group P4/mmm (No. 123)
Symmetry-distinct sites (fractional):
Zr (0.0000, 0.5000, 0.0000) x2  2 H 2.26
Ni (0.0000, 0.0000, 0.5000) x1  2 H 1.78
H (0.0000, 0.0000, 0.0000) x1  2 Ni 1.78
Pt (0.5000, 0.5000, 0.5000) x1  8 Zr 2.88, 4 Ni 3.20

Results
**Offset from the most stable computed form**: 0.000 eV per atom

[2]
Material: CuP4
Method: DFT, PBE-GGA
State: optimized geometry

a b c (Å): 5.4921 5.4921 5.4921
angles (deg): 90.00 90.00 90.00
With the nearest neighbours (Å) after each atom.
Space group Im-3m (No. 229)
Symmetry-distinct sites (fractional):
Cu (0.0000, 0.0000, 0.0000) x2  8 P 2.38
P (0.2500, 0.2500, 0.2500) x8  2 Cu 2.38

Results
**Energy relative to the elements**: 0.60 eV/atom
**Offset from the most stable computed form**: 0.614 eV per atom

[3]
Material: SmZrMn
Method: DFT, PBE-GGA
State: optimized geometry

a b c (Å): 3.4962 3.4962 11.2790
angles (deg): 90.00 90.00 90.00
With the nearest neighbours (Å) after each atom.
Space group I4mm (No. 107)
Symmetry-distinct sites (fractional):
Sm (0.0000, 0.0000, 0.0000) x2  5 Zr 3.19-3.48, 4 Mn 3.22, 4 Sm 3.50
Zr (0.0000, 0.0000, 0.2830) x2  4 Mn 2.72
Mn (0.0000, 0.0000, 0.6827) x2  4 Zr 2.72

Results
**Energy relative to the elements**: 0.19 eV/atom

[4]
Material: LiTbTmZn
Method: DFT, PBE-GGA
State: optimized geometry

a b c (Å): 7.1811 7.1811 7.1811
angles (deg): 90.00 90.00 90.00
With the nearest neighbours (Å) after each atom.
Space group F-43m (No. 216)
Symmetry-distinct sites (fractional):
Li (0.0000, 0.0000, 0.0000) x4  4 Tb 3.11, 4 Tm 3.11
Tb (0.2500, 0.2500, 0.2500) x4  4 Li 3.11, 4 Zn 3.11
Tm (0.2500, 0.2500, 0.7500) x4  4 Li 3.11, 4 Zn 3.11
Zn (0.0000, 0.0000, 0.5000) x4  4 Tb 3.11, 4 Tm 3.11

Results
**Energy relative to the elements**: -0.12 eV/atom

[5]
Material: Ba11TlIr2
Method: DFT, PBE-GGA
State: optimized geometry

a b c (Å): 14.3430 14.4579 15.9029
angles (deg): 90.00 90.00 90.00
With the nearest neighbours (Å) after each atom.
Space group Ibam (No. 72)
Symmetry-distinct sites (fractional):
Ba (0.0000, 0.0000, 0.0000) x4  2 Ir 3.29
Ba (0.0706, 0.2770, 0.1381) x16  1 Ir 3.07
Ba (0.1890, 0.1980, 0.5000) x8  1 Ir 2.96
Ba (0.2228, 0.4379, 0.3648) x16  1 Ir 3.06
Tl (0.0000, 0.5000, 0.2500) x4  8 Ba 3.79-3.82
Ir (0.1624, 0.1604, 0.0000) x8  6 Ba 2.96-3.29

Results
**Energy relative to the elements**: -0.01 eV/atom

no.,total magnetization (μB per cell),VASP energy (eV/cell)
1,0.00,-35.23
2,0.00,-45.48
3,2.94,-43.72
4,0.00,-51.01
5,0.00,-165.48